Record 1
A plane-wave DFT calculation with PBE was carried out for a relaxed structure of Cd4ReSb.

a = 5.607 Å, b = 5.607 Å, c = 5.607 Å
α = 60.00°, β = 60.00°, γ = 60.00°
Fractional positions:
Cd (0.872, 0.376, 0.376)
Cd (0.376, 0.376, 0.872)
Cd (0.376, 0.872, 0.376)
Cd (0.376, 0.376, 0.376)
Re (0.750, 0.750, 0.750)
Sb (0.000, 0.000, 0.000)

Output
Crystal system: cubic
Energy relative to the elements, uncorrected, eV/atom: 0.713
M_tot, μB per cell: 0.0
Uncorrected energy, eV/atom: -2.66



Record 2
A plane-wave DFT calculation with PBE was carried out for a relaxed structure of AcEuPdAu.

a = 5.344 Å, b = 5.344 Å, c = 5.344 Å
α = 60.00°, β = 60.00°, γ = 60.00°
Last column: magnetic moment on the atom in μB.
Fractional positions:
Eu (0.250, 0.250, 0.250)  6.84
Ac (0.750, 0.750, 0.750)  0.04
Au (0.000, 0.000, 0.000)  0.01
Pd (0.500, 0.500, 0.500)  -0.01

Output
Crystal system: cubic
M_tot, μB per cell: 7.2
E_form, eV per atom: -0.73
Uncorrected energy, eV/atom: -6.44



Record 3
A plane-wave DFT calculation with PBE was carried out for a relaxed structure of NaTiAs3.

a = 4.932 Å, b = 4.932 Å, c = 4.932 Å
α = 90.00°, β = 90.00°, γ = 90.00°
Fractional positions:
Na (0.500, 0.500, 0.500)
As (0.000, 0.500, 0.000)
As (0.000, 0.000, 0.500)
As (0.500, 0.000, 0.000)
Ti (0.000, 0.000, 0.000)

Output
Crystal system: cubic
M_tot, μB per cell: 0.0
E_form, eV per atom: -0.21
Uncorrected energy, eV/atom: -4.84



Record 4
A plane-wave DFT calculation with PBE was carried out for a relaxed structure of K2HgBiPt.

a = 6.385 Å, b = 6.385 Å, c = 5.116 Å
α = 90.00°, β = 90.00°, γ = 90.00°
Fractional positions:
K (0.000, 0.500, 0.000)
K (0.500, 0.000, 0.000)
Bi (0.000, 0.000, 0.500)
Pt (0.000, 0.000, 0.000)
Hg (0.500, 0.500, 0.500)

Output
Crystal system: tetragonal
M_tot, μB per cell: 0.0
E_form, eV per atom: -0.18
Uncorrected energy, eV/atom: -2.66



Record 5
A plane-wave DFT calculation with PBE was carried out for a relaxed structure of Mg12Tl6Zn.

a = 7.736 Å, b = 7.736 Å, c = 7.736 Å
α = 92.08°, β = 92.08°, γ = 92.08°
Fractional positions:
Mg (0.463, 0.205, 0.551)
Mg (0.205, 0.551, 0.463)
Mg (0.551, 0.463, 0.205)
Mg (0.537, 0.795, 0.449)
Mg (0.795, 0.449, 0.537)
Mg (0.449, 0.537, 0.795)
Mg (0.863, 0.966, 0.645)
Mg (0.355, 0.137, 0.034)
Mg (0.034, 0.355, 0.137)
Mg (0.137, 0.034, 0.355)
Mg (0.645, 0.863, 0.966)
Mg (0.966, 0.645, 0.863)
Tl (0.118, 0.289, 0.724)
Tl (0.711, 0.276, 0.882)
Tl (0.276, 0.882, 0.711)
Tl (0.882, 0.711, 0.276)
Tl (0.289, 0.724, 0.118)
Tl (0.724, 0.118, 0.289)
Zn (0.000, 0.000, 0.000)

Output
Crystal system: trigonal
M_tot, μB per cell: 0.0
E_form, eV per atom: 0.03
Uncorrected energy, eV/atom: -1.79



Record 6
A plane-wave DFT calculation with PBE was carried out for a relaxed structure of TlTePd.

a = 4.771 Å, b = 4.771 Å, c = 4.771 Å
α = 60.00°, β = 60.00°, γ = 60.00°
Fractional positions:
Tl (0.500, 0.500, 0.500)
Te (0.000, 0.000, 0.000)
Pd (0.250, 0.250, 0.250)

Output
Crystal system: cubic
Energy relative to the elements, uncorrected, eV/atom: -0.204
M_tot, μB per cell: 0.0
Uncorrected energy, eV/atom: -3.77



Record 7
A plane-wave DFT calculation with PBE was carried out for a relaxed structure of BaAlIr.

a = 4.867 Å, b = 4.867 Å, c = 4.867 Å
α = 60.00°, β = 60.00°, γ = 60.00°
Fractional positions:
Ir (0.750, 0.750, 0.750)
Ba (0.500, 0.500, 0.500)
Al (0.000, 0.000, 0.000)

Output
Crystal system: cubic
M_tot, μB per cell: 0.0
E_form, eV per atom: 0.12
Uncorrected energy, eV/atom: -4.72



Record 8
A plane-wave DFT calculation with PBE was carried out for a relaxed structure of CeSb2Au3.

a = 5.451 Å, b = 6.483 Å, c = 9.176 Å
α = 110.53°, β = 107.28°, γ = 90.00°
Last column: magnetic moment on the atom in μB.
Fractional positions:
Ce (0.154, 0.155, 0.307)  0.76
Ce (0.846, 0.845, 0.693)  0.76
Sb (0.500, 0.773, 0.000)  0.00
Sb (0.500, 0.227, 0.000)  0.00
Sb (0.182, 0.683, 0.365)  -0.01
Sb (0.818, 0.317, 0.635)  -0.01
Au (0.674, 0.909, 0.348)  0.00
Au (0.001, 0.722, 0.002)  0.00
Au (0.327, 0.559, 0.653)  0.00
Au (0.673, 0.441, 0.347)  0.00
Au (0.999, 0.278, 0.998)  0.00
Au (0.326, 0.091, 0.652)  0.00

Output
Crystal system: monoclinic
Energy relative to the elements, uncorrected, eV/atom: -0.411
M_tot, μB per cell: 1.7
Uncorrected energy, eV/atom: -4.41



> Number 8 is which compound?

CeSb2Au3